The following is a PBE-GGA calculation of a relaxed structure of LiAs4Ru, from Alexandria.

Lattice parameters (Å, degrees): 5.4468 5.4468 5.4468 60.00 60.00 60.00
Last column: nearest neighbours and their distance in Å.
Atoms (fractional coordinates):
Li (0.0000, 0.0000, 0.0000)  12 As 3.19, 4 Ru 3.34
As (0.3749, 0.3749, 0.3749)  6 As 2.72-2.73
As (0.3749, 0.3749, 0.8754)  6 As 2.72-2.73
As (0.3749, 0.8754, 0.3749)  6 As 2.72-2.73
As (0.8754, 0.3749, 0.3749)  6 As 2.72-2.73
Ru (0.7500, 0.7500, 0.7500)  12 As 3.19, 4 Li 3.34

* VASP energy: -4.46 eV/atom
* total moment: 2.005 μB/f.u.
* energy of formation from the pure elements: 0.509 eV per atom